Entry 1:
VASP calculation (GGA-PBE) on crystalline HfGe2Mo at its relaxed geometry.

The structure in POSCAR format:
```
HfGe2Mo
1.0
3.9350 0.0000 0.0000
0.0000 3.9350 0.0000
0.0000 0.0000 19.1933
Hf Ge Mo
4 8 4
Direct
0.0000 0.0000 0.0000 Hf
0.0000 0.5000 0.2500 Hf
0.5000 0.0000 0.7500 Hf
0.5000 0.5000 0.5000 Hf
0.2453 0.2500 0.6250 Ge
0.2500 0.7453 0.8750 Ge
0.2500 0.7547 0.3750 Ge
0.2547 0.2500 0.1250 Ge
0.7453 0.7500 0.1250 Ge
0.7500 0.2453 0.3750 Ge
0.7500 0.2547 0.8750 Ge
0.7547 0.7500 0.6250 Ge
0.0000 0.0000 0.5000 Mo
0.0000 0.5000 0.7500 Mo
0.5000 0.0000 0.2500 Mo
0.5000 0.5000 0.0000 Mo
```

Summary:
Calculated formation energy   0.153 eV per atom
Spin magnetization   0.00 μB/f.u.
Distance to the lowest polymorph of the same formula   0.309 eV/atom
Space-group type   I-42d
E   -117.628 eV/cell

Entry 2:
VASP calculation (GGA-PBE) on crystalline HfGe2Mo2 at its relaxed geometry.

The structure in POSCAR format:
```
HfGe2Mo2
1.0
4.6783 0.0000 0.0000
0.0000 4.6783 0.0000
0.0000 0.0000 8.4434
Hf Ge Mo
2 4 4
Direct
0.0000 0.0000 0.0000 Hf
0.5000 0.5000 0.5000 Hf
0.0000 0.5000 0.2500 Ge
0.0000 0.5000 0.7500 Ge
0.5000 0.0000 0.2500 Ge
0.5000 0.0000 0.7500 Ge
0.0000 0.0000 0.3659 Mo
0.0000 0.0000 0.6341 Mo
0.5000 0.5000 0.1341 Mo
0.5000 0.5000 0.8659 Mo
```

Summary:
Calculated formation energy   0.167 eV per atom
Spin magnetization   0.00 μB/f.u.
Distance to the lowest polymorph of the same formula   0.391 eV/atom
Space-group type   I4/mmm
E   -80.027 eV/cell

Entry 3:
VASP calculation (GGA-PBE) on crystalline HfGe2Mo at its relaxed geometry.

The structure in POSCAR format:
```
HfGe2Mo
1.0
6.4456 0.0000 0.0000
0.0000 3.7024 0.0000
-2.1261 0.0000 6.1684
Hf Ge Mo
2 4 2
Direct
0.0000 0.0000 0.0000 Hf
0.5000 0.5000 0.0000 Hf
0.2444 0.0000 0.7332 Ge
0.2556 0.5000 0.2668 Ge
0.7444 0.5000 0.7332 Ge
0.7556 0.0000 0.2668 Ge
0.0000 0.5000 0.5000 Mo
0.5000 0.0000 0.5000 Mo
```

Summary:
Calculated formation energy   -0.084 eV per atom
Spin magnetization   0.00 μB/f.u.
Distance to the lowest polymorph of the same formula   0.072 eV/atom
Space-group type   C2/m
E   -60.711 eV/cell

Entry 4:
VASP calculation (GGA-PBE) on crystalline Hf5Ge5Mo at its relaxed geometry.

The structure in POSCAR format:
```
Hf5Ge5Mo
1.0
5.8775 -2.6593 0.0000
5.8775 2.6593 0.0000
-2.6211 0.0000 7.1563
Hf Ge Mo
5 5 1
Direct
0.0000 0.0000 0.0000 Hf
0.3250 0.3250 0.1667 Hf
0.3441 0.3441 0.6836 Hf
0.6559 0.6559 0.3164 Hf
0.6750 0.6750 0.8333 Hf
0.1633 0.1633 0.8258 Ge
0.1677 0.1677 0.3470 Ge
0.5000 0.5000 0.5000 Ge
0.8323 0.8323 0.6530 Ge
0.8367 0.8367 0.1742 Ge
0.0000 0.0000 0.5000 Mo
```

Summary:
Calculated formation energy   -0.209 eV per atom
Spin magnetization   0.00 μB/f.u.
Space-group type   C2/m
E   -85.979 eV/cell

Entry 5:
VASP calculation (GGA-PBE) on crystalline HfGe6Mo5 at its relaxed geometry.

The structure in POSCAR format:
```
HfGe6Mo5
1.0
4.5590 0.0000 0.0000
0.0068 6.2506 0.0000
2.2627 0.0039 6.7252
Hf Ge Mo
1 6 5
Direct
0.0000 0.0000 0.0000 Hf
0.1705 0.7393 0.6502 Ge
0.1719 0.2599 0.6500 Ge
0.5000 0.2644 0.0001 Ge
0.5000 0.7356 0.9999 Ge
0.8281 0.7401 0.3500 Ge
0.8295 0.2607 0.3498 Ge
0.0000 0.5000 0.0000 Mo
0.2930 0.9995 0.3196 Mo
0.3740 0.4999 0.3240 Mo
0.6260 0.5001 0.6760 Mo
0.7070 0.0005 0.6804 Mo
```

Summary:
Calculated formation energy   0.014 eV per atom
Spin magnetization   0.00 μB/f.u.
Space-group type   P-1
E   -91.641 eV/cell

Entry 6:
VASP calculation (GGA-PBE) on crystalline Hf4Ge3Mo at its relaxed geometry.

The structure in POSCAR format:
```
Hf4Ge3Mo
1.0
-5.2347 5.2347 2.6485
5.2347 -5.2347 2.6485
5.2347 5.2347 -2.6485
Hf Ge Mo
8 6 2
Direct
0.0783 0.7799 0.8583 Hf
0.2201 0.0783 0.2984 Hf
0.2799 0.5783 0.8583 Hf
0.4217 0.2799 0.7016 Hf
0.5783 0.7201 0.2984 Hf
0.7201 0.4217 0.1417 Hf
0.7799 0.9217 0.7016 Hf
0.9217 0.2201 0.1417 Hf
0.1577 0.3423 0.5000 Ge
0.2500 0.2500 0.0000 Ge
0.3423 0.8423 0.1846 Ge
0.6577 0.1577 0.8154 Ge
0.7500 0.7500 0.0000 Ge
0.8423 0.6577 0.5000 Ge
0.2500 0.7500 0.5000 Mo
0.7500 0.2500 0.5000 Mo
```

Summary:
Calculated formation energy   -0.604 eV per atom
Spin magnetization   0.00 μB/f.u.
Space-group type   I4/mcm
E   -138.650 eV/cell

Entry 7:
VASP calculation (GGA-PBE) on crystalline HfGe2Mo2 at its relaxed geometry.

The structure in POSCAR format:
```
HfGe2Mo2
1.0
7.1335 0.0000 0.0000
0.0000 7.1335 0.0000
0.0000 0.0000 3.2544
Hf Ge Mo
2 4 4
Direct
0.0000 0.0000 0.0000 Hf
0.5000 0.5000 0.0000 Hf
0.1408 0.3592 0.0000 Ge
0.3592 0.8592 0.0000 Ge
0.6408 0.1408 0.0000 Ge
0.8592 0.6408 0.0000 Ge
0.1523 0.6523 0.5000 Mo
0.3477 0.1523 0.5000 Mo
0.6523 0.8477 0.5000 Mo
0.8477 0.3477 0.5000 Mo
```

Summary:
Calculated formation energy   -0.223 eV per atom
Spin magnetization   0.00 μB/f.u.
Distance to the lowest polymorph of the same formula   0.000 eV/atom
Space-group type   P4/mbm
E   -83.932 eV/cell

Entry 8:
VASP calculation (GGA-PBE) on crystalline Hf9GeMo4 at its relaxed geometry.

The structure in POSCAR format:
```
Hf9GeMo4
1.0
8.6733 0.0000 0.0000
-4.3366 7.5113 0.0000
0.0000 0.0000 8.7199
Hf Ge Mo
18 2 8
Direct
0.0775 0.5387 0.2500 Hf
0.1966 0.3931 0.5436 Hf
0.1966 0.3931 0.9564 Hf
0.1966 0.8034 0.5436 Hf
0.1966 0.8034 0.9564 Hf
0.3931 0.1966 0.0436 Hf
0.3931 0.1966 0.4564 Hf
0.4613 0.5387 0.2500 Hf
0.4613 0.9225 0.2500 Hf
0.5387 0.0775 0.7500 Hf
0.5387 0.4613 0.7500 Hf
0.6069 0.8034 0.5436 Hf
0.6069 0.8034 0.9564 Hf
0.8034 0.1966 0.0436 Hf
0.8034 0.1966 0.4564 Hf
0.8034 0.6069 0.0436 Hf
0.8034 0.6069 0.4564 Hf
0.9225 0.4613 0.7500 Hf
0.3333 0.6667 0.7500 Ge
0.6667 0.3333 0.2500 Ge
0.0000 0.0000 0.0000 Mo
0.0000 0.0000 0.5000 Mo
0.1102 0.2204 0.2500 Mo
0.1102 0.8898 0.2500 Mo
0.2204 0.1102 0.7500 Mo
0.7796 0.8898 0.2500 Mo
0.8898 0.1102 0.7500 Mo
0.8898 0.7796 0.7500 Mo
```

Summary:
Calculated formation energy   -0.223 eV per atom
Spin magnetization   0.00 μB/f.u.
Space-group type   P6_3/mmc
E   -281.293 eV/cell

Entry 9:
VASP calculation (GGA-PBE) on crystalline Hf8GeMo5 at its relaxed geometry.

The structure in POSCAR format:
```
Hf8GeMo5
1.0
8.7620 0.0000 0.0000
0.0000 4.3240 7.2905
0.0000 -4.3240 7.2905
Hf Ge Mo
16 2 10
Direct
0.0000 0.0567 0.0567 Hf
0.0000 0.0680 0.6672 Hf
0.0000 0.6672 0.0680 Hf
0.2046 0.4051 0.9934 Hf
0.2046 0.9934 0.4051 Hf
0.2363 0.3879 0.3879 Hf
0.2963 0.8012 0.8012 Hf
0.2967 0.2059 0.7941 Hf
0.2967 0.7941 0.2059 Hf
0.5000 0.1540 0.1540 Hf
0.7033 0.2059 0.7941 Hf
0.7033 0.7941 0.2059 Hf
0.7037 0.8012 0.8012 Hf
0.7637 0.3879 0.3879 Hf
0.7954 0.4051 0.9934 Hf
0.7954 0.9934 0.4051 Hf
0.0000 0.2666 0.2666 Ge
0.5000 0.9381 0.9381 Ge
0.0000 0.3777 0.7032 Mo
0.0000 0.7032 0.3777 Mo
0.0000 0.7075 0.7075 Mo
0.2523 0.5976 0.5976 Mo
0.5000 0.1168 0.5507 Mo
0.5000 0.4910 0.4910 Mo
0.5000 0.4944 0.8254 Mo
0.5000 0.5507 0.1168 Mo
0.5000 0.8254 0.4944 Mo
0.7477 0.5976 0.5976 Mo
```

Summary:
Calculated formation energy   -0.141 eV per atom
Spin magnetization   0.00 μB/f.u.
Space-group type   Amm2
E   -280.750 eV/cell

Entry 10:
VASP calculation (GGA-PBE) on crystalline Hf2Ge3Mo2 at its relaxed geometry.

The structure in POSCAR format:
```
Hf2Ge3Mo2
1.0
3.3120 0.0000 0.0000
-1.5974 6.3517 0.0000
-1.4903 -2.4616 5.8889
Hf Ge Mo
2 3 2
Direct
0.1009 0.4180 0.2284 Hf
0.8991 0.5820 0.7716 Hf
0.4646 0.8343 0.5768 Ge
0.5000 0.0000 0.0000 Ge
0.5354 0.1657 0.4232 Ge
0.2164 0.2102 0.7633 Mo
0.7836 0.7898 0.2367 Mo
```

Summary:
Calculated formation energy   -0.186 eV per atom
Spin magnetization   0.00 μB/f.u.
Space-group type   P-1
E   -56.723 eV/cell

Entry 11:
VASP calculation (GGA-PBE) on crystalline HfGe2Mo at its relaxed geometry.

The structure in POSCAR format:
```
HfGe2Mo
1.0
6.4496 0.0000 0.0000
0.0000 6.4496 0.0000
0.0000 0.0000 6.4496
Hf Ge Mo
4 8 4
Direct
0.0000 0.0000 0.0000 Hf
0.0000 0.5000 0.5000 Hf
0.5000 0.0000 0.5000 Hf
0.5000 0.5000 0.0000 Hf
0.2500 0.2500 0.2500 Ge
0.2500 0.2500 0.7500 Ge
0.2500 0.7500 0.2500 Ge
0.2500 0.7500 0.7500 Ge
0.7500 0.2500 0.2500 Ge
0.7500 0.2500 0.7500 Ge
0.7500 0.7500 0.2500 Ge
0.7500 0.7500 0.7500 Ge
0.0000 0.0000 0.5000 Mo
0.0000 0.5000 0.0000 Mo
0.5000 0.0000 0.0000 Mo
0.5000 0.5000 0.5000 Mo
```

Summary:
Calculated formation energy   -0.156 eV per atom
Spin magnetization   0.00 μB/f.u.
Distance to the lowest polymorph of the same formula   0.000 eV/atom
Space-group type   Fm-3m
E   -122.578 eV/cell

Entry 12:
VASP calculation (GGA-PBE) on crystalline Hf3GeMo8 at its relaxed geometry.

The structure in POSCAR format:
```
Hf3GeMo8
1.0
5.3567 0.0000 0.0000
-2.6784 4.6391 0.0000
0.0000 0.0000 8.6040
Hf Ge Mo
3 1 8
Direct
0.0000 0.0000 0.0000 Hf
0.0000 0.0000 0.3798 Hf
0.6667 0.3333 0.8783 Hf
0.6667 0.3333 0.5069 Ge
0.1620 0.3240 0.6855 Mo
0.1620 0.8380 0.6855 Mo
0.3333 0.6667 0.4371 Mo
0.3333 0.6667 0.9351 Mo
0.5039 0.0078 0.1907 Mo
0.5039 0.4961 0.1907 Mo
0.6760 0.8380 0.6855 Mo
0.9922 0.4961 0.1907 Mo
```

Summary:
Calculated formation energy   -0.006 eV per atom
Spin magnetization   0.00 μB/f.u.
Space-group type   P3m1
E   -121.196 eV/cell

Entry 13:
VASP calculation (GGA-PBE) on crystalline Hf2Ge2Mo at its relaxed geometry.

The structure in POSCAR format:
```
Hf2Ge2Mo
1.0
6.8032 0.0000 0.0000
0.0000 6.8032 0.0000
0.0000 0.0000 3.8064
Hf Ge Mo
4 4 2
Direct
0.1727 0.3273 0.0000 Hf
0.3273 0.8273 0.0000 Hf
0.6727 0.1727 0.0000 Hf
0.8273 0.6727 0.0000 Hf
0.1323 0.6323 0.5000 Ge
0.3677 0.1323 0.5000 Ge
0.6323 0.8677 0.5000 Ge
0.8677 0.3677 0.5000 Ge
0.0000 0.0000 0.5000 Mo
0.5000 0.5000 0.5000 Mo
```

Summary:
Calculated formation energy   -0.616 eV per atom
Spin magnetization   0.00 μB/f.u.
Space-group type   P4/mbm
E   -86.103 eV/cell